First-principles (PBE) data for crystalline Ta2CrMo at its relaxed geometry, as listed in the Alexandria database.

```
Ta2CrMo
1.0
-3.537 3.537 2.732
3.537 -3.537 2.732
3.537 3.537 -2.732
Ta Cr Mo
4 2 2
direct
0.110 0.125 0.485 Ta
0.375 0.890 0.015 Ta
0.640 0.625 0.515 Ta
0.875 0.360 0.985 Ta
0.000 0.000 0.000 Cr
0.750 0.250 0.500 Cr
0.250 0.750 0.500 Mo
0.500 0.500 0.000 Mo
```

Summary:
Space-group type   I-42d (122)
ΔE_f   0.728 eV per atom
Spin magnetization   0.0 μB per formula unit